No. 1
PaCo2Si4 | Alexandria | GGA-PBE | optimized geometry; crystal system = orthorhombic; magnetic moment = 0.000 μB/f.u.; symmetry = Pnma; uncorrected formation energy = -0.537 eV per atom; VASP energy = -7.02 eV/atom
1.0
3.965 0.000 0.000
0.000 6.159 0.000
0.000 0.000 16.546
Co Si Pa
8 16 4
direct
0.750 0.015 0.207
0.250 0.746 0.534
0.750 0.485 0.707
0.250 0.754 0.034
0.250 0.515 0.293
0.750 0.254 0.466
0.750 0.246 0.966
0.250 0.985 0.793
0.250 0.351 0.026
0.750 0.649 0.974
0.750 0.187 0.819
0.250 0.481 0.433
0.750 0.313 0.319
0.750 0.711 0.294
0.750 0.981 0.067
0.250 0.019 0.933
0.250 0.211 0.206
0.750 0.519 0.567
0.250 0.289 0.706
0.250 0.813 0.181
0.750 0.851 0.474
0.250 0.687 0.681
0.750 0.789 0.794
0.250 0.149 0.526
0.750 0.017 0.637
0.250 0.983 0.363
0.250 0.517 0.863
0.750 0.483 0.137


No. 2
PaCo4Si4 | Alexandria | GGA-PBE | optimized geometry; crystal system = tetragonal; magnetic moment = 0.000 μB/f.u.; symmetry = P4_2/nmc; uncorrected formation energy = -0.522 eV per atom; VASP energy = -7.15 eV/atom
1.0
-1.713 0.158 -5.308
1.380 -5.373 -0.606
-7.141 -2.086 2.242
Si Pa Co
8 2 8
direct
0.709 0.000 0.323
0.209 0.500 0.177
0.291 0.000 0.323
0.000 0.709 0.677
0.500 0.209 0.823
0.000 0.291 0.677
0.500 0.791 0.823
0.791 0.500 0.177
0.500 0.500 0.500
0.000 0.000 0.000
0.273 0.000 0.617
0.773 0.500 0.883
0.500 0.227 0.117
0.500 0.773 0.117
0.000 0.727 0.383
0.000 0.273 0.383
0.227 0.500 0.883
0.727 0.000 0.617


No. 3
Pa2Co5Si | Alexandria | GGA-PBE | optimized geometry; crystal system = tetragonal; magnetic moment = 0.000 μB/f.u.; symmetry = I4mm; uncorrected formation energy = -0.397 eV per atom; VASP energy = -7.89 eV/atom
1.0
-1.158 4.331 3.153
-4.042 -3.362 -1.550
2.808 -4.203 2.120
Si Pa Co
1 2 5
direct
0.000 0.926 0.926
0.500 0.752 0.252
0.500 0.252 0.752
0.000 0.736 0.285
0.549 0.285 0.285
0.000 0.251 0.251
0.000 0.285 0.736
0.451 0.736 0.736